Entry 1:
Compound: BaSr2Zr
Source: the Alexandria database
Functional: PBE-GGA
Structure: relaxed

Computed properties:
The calculation puts the excess energy over the best structure of this formula in the dataset at 128 meV/atom. The uncorrected energy is -11.66 eV per cell. The calculation puts the formation energy at 545 meV/atom.

Cell: 6.230 6.230 6.230 Å, 60.00 60.00 60.00°
Positions (direct):
Sr1 0.250 0.250 0.250
Sr2 0.750 0.750 0.750
Ba1 0.500 0.500 0.500
Zr1 0.000 0.000 0.000



Entry 2:
Compound: Ba2SrZr
Source: the Alexandria database
Functional: PBE-GGA
Structure: relaxed

Computed properties:
The calculation puts the excess energy over the best structure of this formula in the dataset at 136 meV/atom. The uncorrected energy is -11.78 eV per cell. The calculation puts the formation energy at 573 meV/atom.

Cell: 6.311 6.311 6.311 Å, 60.00 60.00 60.00°
Positions (direct):
Sr1 0.000 0.000 0.000
Ba1 0.250 0.250 0.250
Ba2 0.750 0.750 0.750
Zr1 0.500 0.500 0.500



Entry 3:
Compound: BaSrZr2
Source: the Alexandria database
Functional: PBE-GGA
Structure: relaxed

Computed properties:
The calculation puts the excess energy over the best structure of this formula in the dataset at 0 meV/atom. The uncorrected energy is -19.34 eV per cell. The calculation puts the formation energy at 340 meV/atom.

Cell: 3.925 3.934 10.283 Å, 67.66 90.00 90.00°
Positions (direct):
Ba1 0.000 0.558 0.444
Sr1 0.500 0.686 0.813
Zr1 0.000 0.936 0.064
Zr2 0.500 0.321 0.180



Entry 4:
Compound: BaSr2Zr
Source: the Alexandria database
Functional: PBE-GGA
Structure: relaxed

Computed properties:
The calculation puts the excess energy over the best structure of this formula in the dataset at 105 meV/atom. The uncorrected energy is -11.75 eV per cell. The calculation puts the formation energy at 521 meV/atom.

Cell: 6.764 6.764 6.764 Å, 130.62 130.62 72.42°
Positions (direct):
Ba1 0.750 0.250 0.500
Sr1 0.000 0.000 0.000
Sr2 0.500 0.500 0.000
Zr1 0.250 0.750 0.500



Entry 5:
Compound: BaSr2Zr
Source: the Alexandria database
Functional: PBE-GGA
Structure: relaxed

Computed properties:
The calculation puts the excess energy over the best structure of this formula in the dataset at 119 meV/atom. The uncorrected energy is -11.69 eV per cell. The calculation puts the formation energy at 535 meV/atom.

Cell: 5.571 5.622 5.622 Å, 90.00 90.00 90.00°
Positions (direct):
Ba1 0.500 0.000 0.500
Sr1 0.000 0.000 0.000
Sr2 0.000 0.500 0.500
Zr1 0.500 0.500 0.000



Entry 6:
Compound: BaSrZr
Source: the Alexandria database
Functional: PBE-GGA
Structure: relaxed

Computed properties:
The calculation puts the excess energy over the best structure of this formula in the dataset at 5 meV/atom. The uncorrected energy is -22.06 eV per cell. The calculation puts the formation energy at 375 meV/atom.

Cell: 7.473 9.645 3.868 Å, 90.00 74.98 109.57°
Positions (direct):
Sr1 0.360 0.771 0.847
Sr2 0.087 0.342 0.483
Ba1 0.764 0.621 0.146
Ba2 0.494 0.196 0.780
Zr1 0.792 0.012 0.131
Zr2 0.060 0.954 0.497



Entry 7:
Compound: BaSr2Zr
Source: the Alexandria database
Functional: PBE-GGA
Structure: relaxed

Computed properties:
The calculation puts the excess energy over the best structure of this formula in the dataset at 0 meV/atom. The uncorrected energy is -12.17 eV per cell. The calculation puts the formation energy at 416 meV/atom.

Cell: 3.868 3.862 12.138 Å, 71.44 90.00 90.00°
Positions (direct):
Ba1 0.500 0.791 0.709
Sr1 0.000 0.995 0.006
Sr2 0.500 0.210 0.290
Zr1 0.000 0.505 0.495



Entry 8:
Compound: Ba2SrZr
Source: the Alexandria database
Functional: PBE-GGA
Structure: relaxed

Computed properties:
The calculation puts the excess energy over the best structure of this formula in the dataset at 88 meV/atom. The uncorrected energy is -11.98 eV per cell. The calculation puts the formation energy at 525 meV/atom.

Cell: 6.361 3.855 7.177 Å, 89.70 90.00 90.00°
Positions (direct):
Ba1 0.000 0.121 0.954
Ba2 0.500 0.129 0.281
Sr1 0.000 0.624 0.494
Zr1 0.500 0.626 0.770



Entry 9:
Compound: Ba2SrZr
Source: the Alexandria database
Functional: PBE-GGA
Structure: relaxed

Computed properties:
The calculation puts the excess energy over the best structure of this formula in the dataset at 302 meV/atom. The uncorrected energy is -22.24 eV per cell. The calculation puts the formation energy at 739 meV/atom.

Cell: 9.917 9.917 7.934 Å, 51.32 51.32 90.00°
Positions (direct):
Sr1 0.500 0.500 0.000
Sr2 0.250 0.750 0.500
Ba1 0.654 0.125 0.250
Ba2 0.096 0.625 0.250
Ba3 0.375 0.346 0.750
Ba4 0.875 0.904 0.750
Zr1 0.000 0.000 0.000
Zr2 0.750 0.250 0.500



Entry 10:
Compound: BaSr2Zr
Source: the Alexandria database
Functional: PBE-GGA
Structure: relaxed

Computed properties:
The calculation puts the excess energy over the best structure of this formula in the dataset at 82 meV/atom. The uncorrected energy is -11.84 eV per cell. The calculation puts the formation energy at 499 meV/atom.

Cell: 6.800 6.800 7.006 Å, 80.32 80.32 32.99°
Positions (direct):
Ba1 0.750 0.750 0.750
Sr1 0.985 0.985 0.023
Sr2 0.515 0.515 0.477
Zr1 0.250 0.250 0.250



Entry 11:
Compound: BaSrZr2
Source: the Alexandria database
Functional: PBE-GGA
Structure: relaxed

Computed properties:
The calculation puts the excess energy over the best structure of this formula in the dataset at 405 meV/atom. The uncorrected energy is -17.72 eV per cell. The calculation puts the formation energy at 745 meV/atom.

Cell: 3.382 3.382 12.073 Å, 90.00 90.00 106.50°
Positions (direct):
Ba1 0.500 0.500 0.250
Sr1 0.500 0.500 0.750
Zr1 0.000 0.000 0.996
Zr2 0.000 0.000 0.504



Entry 12:
Compound: BaSr2Zr
Source: the Alexandria database
Functional: PBE-GGA
Structure: relaxed

Computed properties:
The calculation puts the excess energy over the best structure of this formula in the dataset at 87 meV/atom. The uncorrected energy is -11.82 eV per cell. The calculation puts the formation energy at 503 meV/atom.

Cell: 7.645 7.645 7.645 Å, 149.61 129.13 60.42°
Positions (direct):
Ba1 0.280 0.780 0.500
Sr1 0.999 0.999 0.000
Sr2 0.720 0.220 0.500
Zr1 0.501 0.501 0.000



Entry 13:
Compound: BaSrZr
Source: the Alexandria database
Functional: PBE-GGA
Structure: relaxed

Computed properties:
The calculation puts the excess energy over the best structure of this formula in the dataset at 258 meV/atom. The uncorrected energy is -10.27 eV per cell. The calculation puts the formation energy at 628 meV/atom.

Cell: 6.793 6.793 6.793 Å, 148.19 133.78 57.20°
Positions (direct):
Ba1 0.010 0.010 0.000
Sr1 0.321 0.321 0.000
Zr1 0.669 0.669 0.000



Entry 14:
Compound: Ba2SrZr
Source: the Alexandria database
Functional: PBE-GGA
Structure: relaxed

Computed properties:
The calculation puts the excess energy over the best structure of this formula in the dataset at 6 meV/atom. The uncorrected energy is -12.30 eV per cell. The calculation puts the formation energy at 443 meV/atom.

Cell: 3.912 3.912 11.710 Å, 90.00 90.00 89.98°
Positions (direct):
Ba1 0.000 0.000 0.954
Ba2 0.500 0.500 0.252
Sr1 0.000 0.000 0.547
Zr1 0.500 0.500 0.747



Entry 15:
Compound: BaSr2Zr
Source: the Alexandria database
Functional: PBE-GGA
Structure: relaxed

Computed properties:
The calculation puts the excess energy over the best structure of this formula in the dataset at 95 meV/atom. The uncorrected energy is -11.79 eV per cell. The calculation puts the formation energy at 512 meV/atom.

Cell: 6.169 3.759 7.432 Å, 80.40 90.00 90.00°
Positions (direct):
Ba1 0.500 0.750 0.750
Sr1 0.000 0.008 0.022
Sr2 0.000 0.492 0.478
Zr1 0.500 0.250 0.250



Entry 16:
Compound: BaSr2Zr
Source: the Alexandria database
Functional: PBE-GGA
Structure: relaxed

Computed properties:
The calculation puts the excess energy over the best structure of this formula in the dataset at 76 meV/atom. The uncorrected energy is -11.87 eV per cell. The calculation puts the formation energy at 492 meV/atom.

Cell: 7.703 7.703 7.703 Å, 149.94 129.72 59.70°
Positions (direct):
Ba1 0.250 0.750 0.500
Sr1 0.967 0.967 0.000
Sr2 0.533 0.533 0.000
Zr1 0.750 0.250 0.500



Entry 17:
Compound: Ba2SrZr
Source: the Alexandria database
Functional: PBE-GGA
Structure: relaxed

Computed properties:
The calculation puts the excess energy over the best structure of this formula in the dataset at 108 meV/atom. The uncorrected energy is -11.89 eV per cell. The calculation puts the formation energy at 545 meV/atom.

Cell: 6.848 6.848 6.848 Å, 130.70 130.70 72.29°
Positions (direct):
Ba1 0.000 0.000 0.000
Ba2 0.250 0.750 0.500
Sr1 0.500 0.500 0.000
Zr1 0.750 0.250 0.500



Entry 18:
Compound: BaSrZr2
Source: the Alexandria database
Functional: PBE-GGA
Structure: relaxed

Computed properties:
The calculation puts the excess energy over the best structure of this formula in the dataset at 160 meV/atom. The uncorrected energy is -18.70 eV per cell. The calculation puts the formation energy at 500 meV/atom.

Cell: 5.354 5.354 8.366 Å, 86.01 86.01 37.69°
Positions (direct):
Ba1 0.492 0.492 0.547
Sr1 0.259 0.259 0.195
Zr1 0.007 0.007 0.930
Zr2 0.742 0.742 0.828



Entry 19:
Compound: BaSr2Zr
Source: the Alexandria database
Functional: PBE-GGA
Structure: relaxed

Computed properties:
The calculation puts the excess energy over the best structure of this formula in the dataset at 143 meV/atom. The uncorrected energy is -11.60 eV per cell. The calculation puts the formation energy at 559 meV/atom.

Cell: 6.239 6.239 6.239 Å, 60.00 60.00 60.00°
Positions (direct):
Ba1 0.500 0.500 0.500
Sr1 0.000 0.000 0.000
Sr2 0.250 0.250 0.250
Zr1 0.750 0.750 0.750



Entry 20:
Compound: BaSrZr
Source: the Alexandria database
Functional: PBE-GGA
Structure: relaxed

Computed properties:
The calculation puts the excess energy over the best structure of this formula in the dataset at 153 meV/atom. The uncorrected energy is -10.58 eV per cell. The calculation puts the formation energy at 523 meV/atom.

Cell: 8.934 8.933 3.742 Å, 77.92 77.90 24.18°
Positions (direct):
Ba1 0.020 0.020 0.980
Sr1 0.312 0.312 0.688
Zr1 0.668 0.668 0.332